Entry 1:
# GGA-PBE Li2GeIr2, optimized geometry
data_Li2GeIr2
_chemical_formula_sum 'Li2 Ge1 Ir2'
_space_group_name_H-M_alt 'P 1'
_space_group_IT_number 1
_space_group_name_Hall 'P 1'
_cell_length_a 4.163
_cell_length_b 4.163
_cell_length_c 5.049
_cell_angle_alpha 114.35
_cell_angle_beta 114.35
_cell_angle_gamma 60.02
loop_
_atom_site_label
_atom_site_type_symbol
_atom_site_fract_x
_atom_site_fract_y
_atom_site_fract_z
_atom_site_occupancy
Li1 Li 0.191 0.191 0.073 1
Li2 Li 0.809 0.809 0.927 1
Ge1 Ge 0.000 0.000 0.500 1
Ir1 Ir 0.399 0.399 0.703 1
Ir2 Ir 0.601 0.601 0.297 1
# ΔH_f (0 K) = -0.27 eV/atom
# DOS(E_F) = 0.76 states/eV/atom
# Space-group type = No. 12
# Uncorrected energy = -5.507 eV per atom


Entry 2:
# GGA-PBE NbRu3C, optimized geometry
data_NbRu3C
_chemical_formula_sum 'Nb1 Ru3 C1'
_space_group_name_H-M_alt 'P 1'
_space_group_IT_number 1
_space_group_name_Hall 'P 1'
_cell_length_a 4.717
_cell_length_b 4.717
_cell_length_c 4.717
_cell_angle_alpha 90.00
_cell_angle_beta 90.00
_cell_angle_gamma 90.00
loop_
_atom_site_label
_atom_site_type_symbol
_atom_site_fract_x
_atom_site_fract_y
_atom_site_fract_z
_atom_site_occupancy
Nb1 Nb 0.000 0.000 0.000 1
Ru1 Ru 0.000 0.000 0.500 1
Ru2 Ru 0.000 0.500 0.000 1
Ru3 Ru 0.500 0.000 0.000 1
C1 C 0.500 0.500 0.500 1
# ΔH_f (0 K) = 2.93 eV/atom
# DOS(E_F) = 1.64 states/eV/atom
# Space-group type = No. 221
# Uncorrected energy = -6.496 eV per atom


Entry 3:
# GGA-PBE Cu2PPt, optimized geometry
data_Cu2PPt
_chemical_formula_sum 'Cu4 P2 Pt2'
_space_group_name_H-M_alt 'P 1'
_space_group_IT_number 1
_space_group_name_Hall 'P 1'
_cell_length_a 5.433
_cell_length_b 5.433
_cell_length_c 5.433
_cell_angle_alpha 101.21
_cell_angle_beta 101.21
_cell_angle_gamma 127.69
loop_
_atom_site_label
_atom_site_type_symbol
_atom_site_fract_x
_atom_site_fract_y
_atom_site_fract_z
_atom_site_occupancy
Cu1 Cu 0.087 0.625 0.962 1
Cu2 Cu 0.375 0.337 0.462 1
Cu3 Cu 0.663 0.125 0.038 1
Cu4 Cu 0.875 0.913 0.538 1
P1 P 0.000 0.000 0.000 1
P2 P 0.750 0.250 0.500 1
Pt1 Pt 0.250 0.750 0.500 1
Pt2 Pt 0.500 0.500 0.000 1
# ΔH_f (0 K) = 0.04 eV/atom
# DOS(E_F) = 0.60 states/eV/atom
# Space-group type = No. 122
# Uncorrected energy = -4.872 eV per atom


Entry 4:
# GGA-PBE MnGe2TeIr, optimized geometry
data_MnGe2TeIr
_chemical_formula_sum 'Mn1 Ge2 Te1 Ir1'
_space_group_name_H-M_alt 'P 1'
_space_group_IT_number 1
_space_group_name_Hall 'P 1'
_cell_length_a 4.657
_cell_length_b 4.657
_cell_length_c 5.939
_cell_angle_alpha 90.00
_cell_angle_beta 90.00
_cell_angle_gamma 90.00
loop_
_atom_site_label
_atom_site_type_symbol
_atom_site_fract_x
_atom_site_fract_y
_atom_site_fract_z
_atom_site_occupancy
Mn1 Mn 0.000 0.000 0.000 1
Ge1 Ge 0.000 0.500 0.500 1
Ge2 Ge 0.500 0.000 0.500 1
Te1 Te 0.500 0.500 0.000 1
Ir1 Ir 0.500 0.500 0.500 1
# Energy relative to the elements, uncorrected = 484 meV per atom
# DOS(E_F) = 0.61 states/eV/atom
# Space-group type = No. 123
# Uncorrected energy = -5.597 eV per atom


Entry 5:
# GGA-PBE MgAlSeBr2, optimized geometry
data_MgAlSeBr2
_chemical_formula_sum 'Mg1 Al1 Se1 Br2'
_space_group_name_H-M_alt 'P 1'
_space_group_IT_number 1
_space_group_name_Hall 'P 1'
_cell_length_a 5.047
_cell_length_b 5.047
_cell_length_c 5.088
_cell_angle_alpha 90.00
_cell_angle_beta 90.00
_cell_angle_gamma 90.00
loop_
_atom_site_label
_atom_site_type_symbol
_atom_site_fract_x
_atom_site_fract_y
_atom_site_fract_z
_atom_site_occupancy
Mg1 Mg 0.000 0.000 0.000 1
Al1 Al 0.500 0.500 0.500 1
Se1 Se 0.500 0.500 0.000 1
Br1 Br 0.000 0.500 0.500 1
Br2 Br 0.500 0.000 0.500 1
# Energy relative to the elements, uncorrected = -468 meV per atom
# DOS(E_F) = 0.28 states/eV/atom
# Space-group type = No. 123
# Uncorrected energy = -2.901 eV per atom


Entry 6:
# GGA-PBE CaCeGeRh, optimized geometry
data_CaCeGeRh
_chemical_formula_sum 'Ca1 Ce1 Ge1 Rh1'
_space_group_name_H-M_alt 'P 1'
_space_group_IT_number 1
_space_group_name_Hall 'P 1'
_cell_length_a 5.001
_cell_length_b 5.001
_cell_length_c 5.001
_cell_angle_alpha 60.00
_cell_angle_beta 60.00
_cell_angle_gamma 60.00
loop_
_atom_site_label
_atom_site_type_symbol
_atom_site_fract_x
_atom_site_fract_y
_atom_site_fract_z
_atom_site_occupancy
Ca1 Ca 0.000 0.000 0.000 1
Ce1 Ce 0.500 0.500 0.500 1
Ge1 Ge 0.250 0.250 0.250 1
Rh1 Rh 0.750 0.750 0.750 1
# ΔH_f (0 K) = -0.52 eV/atom
# DOS(E_F) = 1.29 states/eV/atom
# Space-group type = No. 216
# Uncorrected energy = -5.501 eV per atom